# 1
SiTc2RuSe, optimized geometry, DFT PBE; SG = P4/mmm, No. 123; electronic total energy = -30.92 eV for the cell shown
1.0
4.4846 0.0000 0.0000
0.0000 4.6440 0.0000
0.0000 0.0000 4.4846
Ru Si Se Tc
1 1 1 2
Cartesian
2.2423 2.3220 2.2423
0.0000 2.3220 0.0000
0.0000 0.0000 0.0000
2.2423 0.0000 0.0000
0.0000 0.0000 2.2423

***

# 2
SiTcRu2Se, optimized geometry, DFT PBE; SG = P4/mmm, No. 123; electronic total energy = -33.22 eV for the cell shown
1.0
4.4064 0.0000 0.0000
0.0000 4.4840 0.0000
0.0000 0.0000 4.4064
Se Ru Tc Si
1 2 1 1
Cartesian
2.2032 2.2420 2.2032
2.2032 0.0000 0.0000
0.0000 0.0000 2.2032
0.0000 2.2420 0.0000
0.0000 0.0000 0.0000

***

# 3
SiTeRuSe2, optimized geometry, DFT PBE; SG = P4/mmm, No. 123; electronic total energy = -17.25 eV for the cell shown
1.0
5.3351 0.0000 0.0000
0.0000 5.0918 0.0000
0.0000 0.0000 5.3351
Se Si Te Ru
2 1 1 1
Cartesian
2.6676 0.0000 0.0000
0.0000 0.0000 2.6676
0.0000 2.5459 0.0000
0.0000 0.0000 0.0000
2.6676 2.5459 2.6676

***

# 4
TiSiRuSe2, optimized geometry, DFT PBE; SG = P4/mmm, No. 123; electronic total energy = -26.54 eV for the cell shown
1.0
-0.0424 3.6357 -3.3199
-4.5239 0.2108 0.2886
0.3854 3.3122 3.6224
Se Ru Si Ti
2 1 1 1
Cartesian
0.1927 1.6561 1.8112
-0.0212 1.8179 -1.6599
-2.2619 0.1054 0.1443
-2.0904 3.5794 0.2956
0.0000 0.0000 0.0000

***

# 5
ZnSi2RuSe, optimized geometry, DFT PBE; SG = P4/mmm, No. 123; electronic total energy = -17.92 eV for the cell shown
1.0
-3.3648 2.3265 -2.4720
-0.0519 -3.3652 -3.0966
-3.3942 -2.2502 2.5022
Ru Se Si Zn
1 1 2 1
Cartesian
-3.4054 -1.6444 -1.5331
0.0000 0.0000 0.0000
-1.6824 1.1633 -1.2360
-1.6971 -1.1251 1.2511
-0.0259 -1.6826 -1.5483

***

# 6
Sm2RuSe, optimized geometry, DFT PBE; SG = P4/mmm, No. 123; electronic total energy = -25.77 eV for the cell shown
1.0
-2.3496 2.4638 0.9051
-2.5989 -2.3539 -0.3387
0.7690 -1.8679 7.0810
Sm Se Ru
2 1 1
Cartesian
0.5886 -1.4298 5.4203
0.1803 -0.4381 1.6607
-2.0897 -0.8790 3.8237
-2.4742 0.0549 0.2832

***

# 7
Sm5RuSe4, optimized geometry, DFT PBE; SG = I4/m, No. 87; electronic total energy = -61.53 eV for the cell shown
1.0
5.3744 0.0000 2.5922
2.6872 6.6174 1.2961
-0.1876 0.0000 7.2564
Se Sm Ru
4 5 1
Cartesian
1.5456 1.4010 3.6767
6.3391 5.2163 7.4732
3.1136 2.6402 7.2932
4.7711 3.9772 3.8567
3.5749 5.3990 6.3363
2.1630 4.1541 2.3960
4.3094 1.2183 4.8134
2.6943 0.0000 1.2995
5.7212 2.4633 8.7537
0.0064 0.0000 0.0031

***

# 8
Sm2RuSe, optimized geometry, DFT PBE; SG = R-3m, No. 166; electronic total energy = -23.01 eV for the cell shown
1.0
3.7194 0.0000 0.0000
1.8597 3.2211 0.0000
1.8597 1.0737 8.9684
Ru Sm Se
1 2 1
Cartesian
0.0000 0.0000 0.0000
1.8597 1.0737 6.4420
5.5791 3.2211 2.5264
3.7194 2.1474 4.4842

***

# 9
Sm4Te2RuSe, optimized geometry, DFT PBE; SG = P2/m, No. 10; electronic total energy = -47.44 eV for the cell shown
1.0
-3.1911 2.7561 -0.0936
-1.7465 -1.7766 7.2232
3.8487 4.6083 4.4774
Te Sm Se Ru
2 4 1 1
Cartesian
0.3288 3.6822 2.1919
3.8487 4.6082 4.4774
0.6951 4.2110 5.2725
-1.7840 1.3768 6.3344
1.5904 2.1290 8.4610
-2.6793 3.4588 3.1459
-2.4688 0.4898 3.5648
1.0511 1.4159 5.8503

***

# 10
SnRuSe, optimized geometry, DFT PBE; SG = P2_1/c, No. 14; electronic total energy = -69.94 eV for the cell shown
1.0
-6.4284 2.5979 -1.8050
1.1943 -2.9938 5.6803
1.5235 5.5968 2.6294
Sn Se Ru
4 4 4
Cartesian
-2.1839 2.9745 4.8315
-1.5266 2.2264 1.6732
-1.2596 -0.4834 3.9435
-2.4509 5.6842 2.5611
0.7300 4.2501 3.8901
-4.6840 3.7472 0.3849
0.9734 1.4537 6.1198
-4.4405 0.9508 2.6146
0.1096 1.8352 3.8797
-3.9577 -0.8301 4.1971
0.2472 6.0310 2.3076
-3.8202 3.3657 2.6249

***

# 11
Sn3RuSe, optimized geometry, DFT PBE; SG = Pm-3m, No. 221; electronic total energy = -25.38 eV for the cell shown
1.0
5.1584 0.0000 0.0000
0.0000 5.1584 0.0000
0.0000 0.0000 5.1584
Se Sn Ru
1 3 1
Cartesian
2.5792 2.5792 2.5792
2.5792 0.0000 0.0000
0.0000 0.0000 2.5792
0.0000 2.5792 0.0000
0.0000 0.0000 0.0000

***

# 12
Sn3RuSe, optimized geometry, DFT PBE; SG = Pm-3m, No. 221; electronic total energy = -19.05 eV for the cell shown
1.0
5.3885 0.0000 0.0000
0.0000 5.3885 0.0000
0.0000 0.0000 5.3885
Sn Se Ru
3 1 1
Cartesian
0.0000 2.6943 0.0000
0.0000 0.0000 2.6943
2.6943 0.0000 0.0000
0.0000 0.0000 0.0000
2.6943 2.6943 2.6943

***

Q: Look up the electronic total energy of the seventh one.
A: -61.53 eV for the cell shown